1.
Compound: V2CrCuBr
Source: the Alexandria database
Functional: PBE-GGA
Structure: optimized geometry

Values from the calculation:
Energy relative to the elements, uncorrected (eV per formula unit): 1.5
Energy above the most stable polymorph in this dataset (eV per atom): 0.083
Volume (Å³/atom): 16.91
Magnetization (μB/cell): 0.0
Space-group type: Imm2

Cell lengths 7.1361, 7.1361, 7.1361 Å; angles 154.64, 147.03, 42.05 degrees
Atoms (fractional coordinates):
V 0.0000 0.0000 0.0000
V 0.6519 0.1519 0.5000
Cr 0.5243 0.5243 0.0000
Cu 0.1496 0.6496 0.5000
Br 0.8133 0.8133 0.0000

=====

2.
Compound: V2CrCuBr
Source: the Alexandria database
Functional: PBE-GGA
Structure: optimized geometry

Values from the calculation:
Energy relative to the elements, uncorrected (eV per formula unit): 1.6
Energy above the most stable polymorph in this dataset (eV per atom): 0.101
Volume (Å³/atom): 16.20
Magnetization (μB/cell): 0.1
Space-group type: Amm2

Cell lengths 4.0215, 6.5893, 6.5893 Å; angles 27.64, 90.00, 90.00 degrees
Atoms (fractional coordinates):
V 0.0000 0.0000 0.0000
V 0.5000 0.1597 0.1597
Cr 0.0000 0.6325 0.6325
Cu 0.5000 0.5053 0.5053
Br 0.0000 0.3134 0.3134